KInNCl: relaxed, PBE-GGA.

abc: 3.6577 3.6577 7.4900
angles: 90.00 90.00 120.00
Positions (direct):
Cl  0.3333  0.6667  0.9884
K  0.6667  0.3333  0.7061
In  0.3333  0.6667  0.3304
N  0.0000  0.0000  0.4204

Output
Polymorph energy (0 for the lowest one): 0 meV/atom
Raw formation energy: -556.2 meV per atom
Calculated density: 3.9 g cm⁻³
V: 86.8 Å³/cell